Below is crystalline Ta2ReSb at its relaxed geometry, with properties calculated at the PBEsol level.

Calculated values
The value obtained for the magnetic moment is 0.00 Bohr magnetons per cell. As for the space group: I-4m2. The value obtained for the total energy is -10.5784 eV/atom.

Unit cell a=3.912 b=3.912 c=5.306 alpha=111.63 beta=111.63 gamma=90.00
Element x y z (fractional)
Sb (0.250, 0.750, 0.500)
Ta (0.750, 0.250, 0.500)
Re (0.500, 0.500, 0.000)
Ta (0.000, 0.000, 0.000)